Entry 1:
! TbZrAu2 | Alexandria via LeMat-Bulk | PBE | optimized geometry; values from VASP
! Energy relative to the elements in eV/atom: -0.622
! Energy above the most stable polymorph in this dataset in kJ/mol of atoms: 0.0
! DOS(E_F) in states/eV/atom: 1.067
&SYSTEM
  ibrav = 0, nat = 4, ntyp = 3
/
ATOMIC_SPECIES
Tb 158.93 Tb.upf
Zr 91.22 Zr.upf
Au 196.97 Au.upf
CELL_PARAMETERS angstrom
3.4819 0.0000 0.0000
0.0000 3.4819 0.0000
0.0000 0.0000 7.2156
ATOMIC_POSITIONS angstrom
Tb 0.0000 0.0000 0.0000
Zr 0.0000 0.0000 3.6078
Au 1.7409 1.7409 1.9527
Au 1.7409 1.7409 5.2629


Entry 2:
! Tb6Pm3Sm2Tm | Alexandria via LeMat-Bulk | PBE | optimized geometry; values from VASP
! Energy relative to the elements in eV/atom: 0.014
! DOS(E_F) in states/eV/atom: 1.274
&SYSTEM
  ibrav = 0, nat = 12, ntyp = 4
/
ATOMIC_SPECIES
Tb 158.93 Tb.upf
Pm 145.00 Pm.upf
Sm 150.36 Sm.upf
Tm 168.93 Tm.upf
CELL_PARAMETERS angstrom
3.1081 -5.3808 0.0000
3.1081 5.3808 0.0000
-2.0652 0.0000 11.7050
ATOMIC_POSITIONS angstrom
Tb 1.0361 1.7899 2.9049
Tb -0.0001 0.0000 8.7966
Tb 1.0361 -1.7899 2.9049
Tb 3.1150 1.7899 8.8001
Tb 4.1512 0.0000 2.9084
Tb 3.1150 -1.7899 8.8001
Pm 2.0756 3.5880 5.8525
Pm 2.0756 0.0000 5.8525
Pm 2.0756 -3.5880 5.8525
Sm 3.1081 1.7923 0.0000
Sm 3.1081 -1.7923 0.0000
Tm 0.0000 0.0000 0.0000


Entry 3:
! KRb2V | Alexandria via LeMat-Bulk | PBE | optimized geometry; values from VASP
! Energy relative to the elements in eV/atom: 0.909
! Energy above the most stable polymorph in this dataset in kJ/mol of atoms: 0.0
! DOS(E_F) in states/eV/atom: 2.936
&SYSTEM
  ibrav = 0, nat = 4, ntyp = 3
/
ATOMIC_SPECIES
K 39.10 K.upf
Rb 85.47 Rb.upf
V 50.94 V.upf
CELL_PARAMETERS angstrom
0.0000 4.7781 4.7781
4.7781 0.0000 4.7781
4.7781 4.7781 0.0000
ATOMIC_POSITIONS angstrom
K 0.0000 0.0000 0.0000
Rb 2.3890 2.3890 2.3890
Rb 7.1671 7.1671 7.1671
V 4.7781 4.7781 4.7781


> Which value of DOS(E_F) does entry 3 give?

2.936 states/eV/atom


Please write out number 2 again, unchanged.
! Tb6Pm3Sm2Tm | Alexandria via LeMat-Bulk | PBE | optimized geometry; values from VASP
! Energy relative to the elements in eV/atom: 0.014
! DOS(E_F) in states/eV/atom: 1.274
&SYSTEM
  ibrav = 0, nat = 12, ntyp = 4
/
ATOMIC_SPECIES
Tb 158.93 Tb.upf
Pm 145.00 Pm.upf
Sm 150.36 Sm.upf
Tm 168.93 Tm.upf
CELL_PARAMETERS angstrom
3.1081 -5.3808 0.0000
3.1081 5.3808 0.0000
-2.0652 0.0000 11.7050
ATOMIC_POSITIONS angstrom
Tb 1.0361 1.7899 2.9049
Tb -0.0001 0.0000 8.7966
Tb 1.0361 -1.7899 2.9049
Tb 3.1150 1.7899 8.8001
Tb 4.1512 0.0000 2.9084
Tb 3.1150 -1.7899 8.8001
Pm 2.0756 3.5880 5.8525
Pm 2.0756 0.0000 5.8525
Pm 2.0756 -3.5880 5.8525
Sm 3.1081 1.7923 0.0000
Sm 3.1081 -1.7923 0.0000
Tm 0.0000 0.0000 0.0000